# 1
CuTeOs2Au | the Alexandria database | PBE | optimized geometry; total energy = -4.468 eV/atom; space-group type = P4/mmm, No. 123; energy relative to the elements, uncorrected = 2.127 eV/atom
1.0
-4.5275 -1.0206 -1.3664
-0.8379 -2.3066 4.4989
-1.5110 4.1980 1.8710
Os Te Au Cu
2 1 1 1
Cartesian
-0.7555 2.0990 0.9355
-2.2637 -0.5103 -0.6832
0.0000 0.0000 0.0000
-0.4189 -1.1533 2.2495
-3.4382 0.4354 2.5017

# 2
CuPAu2 | the Alexandria database | PBE | optimized geometry; total energy = -3.817 eV/atom; space-group type = Imm2, No. 44; ΔH_f (0 K) = 0.20 eV/atom
1.0
5.4246 0.0297 0.0236
2.5211 4.8032 -0.0236
-3.3085 -3.5087 2.4840
Au Cu P
2 1 1
Cartesian
0.1443 0.0877 0.0000
2.9007 -0.6187 1.2538
3.7873 2.3036 0.0000
1.7778 1.9680 1.2302

# 3
CuP2Au | the Alexandria database | PBE | optimized geometry; total energy = -4.184 eV/atom; space-group type = P4mm, No. 99; distance to the lowest polymorph of the same formula = 381 meV/atom; ΔH_f (0 K) = 0.36 eV/atom
1.0
-1.1357 0.0625 -2.4521
0.8132 -2.5398 -0.4414
-7.6099 -3.0358 3.4472
Au Cu P
1 1 2
Cartesian
-3.9752 -1.5858 1.8007
-5.9418 -3.5447 1.1717
-7.1455 -2.8506 3.2368
-2.2847 -2.0857 -0.4849

# 4
CuP2Au | the Alexandria database | PBE | optimized geometry; total energy = -4.294 eV/atom; space-group type = Imm2, No. 44; distance to the lowest polymorph of the same formula = 271 meV/atom; ΔH_f (0 K) = 0.25 eV/atom
1.0
-4.8538 -0.7252 3.4163
-3.1834 -4.8454 1.4644
5.3313 2.6783 -0.4009
Au Cu P
1 1 2
Cartesian
-4.4873 -3.1102 2.7250
-0.9008 -2.4522 1.7309
-7.4340 -5.1526 4.5144
-1.9397 -0.5333 2.8306

# 5
CuPAu2 | the Alexandria database | PBE | optimized geometry; total energy = -3.851 eV/atom; space-group type = Pmmm, No. 47; ΔH_f (0 K) = 0.16 eV/atom
1.0
3.4787 0.0000 0.0000
0.0000 2.7947 -0.0103
0.0000 0.0210 6.8814
Au Cu P
2 1 1
Cartesian
0.0000 2.0970 0.1679
0.0000 2.1056 3.2573
1.7394 0.7039 1.7178
1.7394 2.1118 5.1533

# 6
CuP2Au2 | the Alexandria database | PBE | optimized geometry; total energy = -3.978 eV/atom; space-group type = P4/mbm, No. 127; ΔH_f (0 K) = 0.32 eV/atom
1.0
6.5668 0.0000 0.0000
0.0000 6.5668 0.0000
0.0000 0.0000 3.9391
P Au Cu
4 4 2
Cartesian
2.1372 5.4206 0.0000
5.4206 4.4296 0.0000
4.4296 1.1462 0.0000
1.1462 2.1372 0.0000
1.0002 4.2836 1.9696
4.2836 5.5666 1.9696
5.5666 2.2832 1.9696
2.2832 1.0002 1.9696
0.0000 0.0000 0.0000
3.2834 3.2834 0.0000

# 7
CuPAu2 | the Alexandria database | PBE | optimized geometry; total energy = -3.843 eV/atom; space-group type = Cmm2, No. 35; ΔH_f (0 K) = 0.17 eV/atom
1.0
2.8385 0.0573 0.0000
-0.0499 2.8386 0.0000
0.0000 0.0000 7.9740
Au Cu P
2 1 1
Cartesian
0.0000 0.0000 7.9296
1.3943 1.4480 2.2035
0.0000 0.0000 4.1553
1.3943 1.4480 5.6466

# 8
CuPAu2 | the Alexandria database | PBE | optimized geometry; total energy = -3.762 eV/atom; space-group type = I4/mmm, No. 139; ΔH_f (0 K) = 0.25 eV/atom
1.0
-2.7905 -1.0346 3.8071
2.9612 -0.7480 3.7447
-0.2176 3.6902 -3.1122
Au Cu P
2 1 1
Cartesian
0.0000 0.0000 0.0000
0.0854 -0.8913 3.7759
1.4145 1.0255 2.2042
-1.4614 0.8822 2.2354

# 9
CuP2Au | the Alexandria database | PBE | optimized geometry; total energy = -4.393 eV/atom; space-group type = P2/m, No. 10; distance to the lowest polymorph of the same formula = 173 meV/atom; ΔH_f (0 K) = 0.16 eV/atom
1.0
4.3251 0.0000 0.0000
0.0000 3.3704 -0.0511
0.0000 -0.3205 4.5546
Au Cu P
1 1 2
Cartesian
2.1626 0.7625 1.1259
2.1626 2.2874 3.3776
0.0000 -0.2010 4.1942
0.0000 1.4054 2.6121

# 10
CuPAu2 | the Alexandria database | PBE | optimized geometry; total energy = -3.884 eV/atom; space-group type = Immm, No. 71; ΔH_f (0 K) = 0.13 eV/atom
1.0
-4.2020 -0.4184 5.0512
-0.5171 -3.4033 5.6122
3.0926 3.9275 -4.2845
Au Cu P
2 1 1
Cartesian
-0.3242 -0.2626 0.7327
-2.0353 -1.6482 4.5990
-1.7345 0.7991 3.0492
0.1080 -0.6933 3.3297

# 11
CuPAu2 | the Alexandria database | PBE | optimized geometry; total energy = -3.784 eV/atom; space-group type = C2/m, No. 12; ΔH_f (0 K) = 0.23 eV/atom
1.0
-2.7137 -3.1902 -1.8973
-2.0273 -4.0309 0.8850
-4.4825 1.6889 1.6162
Au Cu P
2 1 1
Cartesian
-4.4743 1.6745 1.6098
-4.6200 -2.7518 0.3083
-6.9176 -4.1492 0.4529
-2.3059 -1.3831 0.1510

# 12
CuPAu2 | the Alexandria database | PBE | optimized geometry; total energy = -3.766 eV/atom; space-group type = I-4m2, No. 119; ΔH_f (0 K) = 0.25 eV/atom
1.0
-0.3947 3.7568 3.3422
-3.2220 -0.9566 3.7607
3.8591 -2.4990 -2.0739
Au Cu P
2 1 1
Cartesian
0.0000 0.0000 0.0000
-0.5856 -1.0277 2.6191
-1.8084 1.4001 3.5514
0.8280 1.3289 2.4098

# 13
CuP2Au | the Alexandria database | PBE | optimized geometry; total energy = -4.332 eV/atom; space-group type = Immm, No. 71; distance to the lowest polymorph of the same formula = 233 meV/atom; ΔH_f (0 K) = 0.22 eV/atom
1.0
-5.7024 1.5066 -0.4307
-4.2893 -4.0501 0.4134
4.8229 1.9322 2.8247
Au Cu P
1 1 2
Cartesian
-2.9377 1.0835 1.1927
-2.2312 -1.6949 1.6148
-1.2685 -0.3229 -0.0022
-3.7274 -0.9489 -0.0064

# 14
CuP2Au | the Alexandria database | PBE | optimized geometry; total energy = -4.302 eV/atom; space-group type = R-3m, No. 166; distance to the lowest polymorph of the same formula = 263 meV/atom; ΔH_f (0 K) = 0.25 eV/atom
1.0
-5.0927 2.1159 -2.2335
-5.8740 0.3815 0.8668
-4.5148 3.7539 0.9623
Au Cu P
1 1 2
Cartesian
-3.8704 1.5628 -0.1011
-11.6111 4.6885 -0.3034
-0.1672 0.0675 -0.0044
-7.5735 3.0581 -0.1979

# 15
CuP2Au | the Alexandria database | PBE | optimized geometry; total energy = -4.381 eV/atom; space-group type = Pm, No. 6; distance to the lowest polymorph of the same formula = 184 meV/atom; ΔH_f (0 K) = 0.17 eV/atom
1.0
-1.2798 2.9824 -0.1514
-2.2858 -0.9291 1.0204
1.2769 0.9164 7.2591
Au Cu P
1 1 2
Cartesian
0.2442 0.3044 3.9332
-0.9474 1.6670 5.9884
-0.9959 -0.4039 0.4628
-1.0940 1.3957 1.8834

# 16
CuP2Au | the Alexandria database | PBE | optimized geometry; total energy = -4.277 eV/atom; space-group type = I-42d, No. 122; distance to the lowest polymorph of the same formula = 288 meV/atom; ΔH_f (0 K) = 0.27 eV/atom
1.0
-3.4863 -3.4839 -2.1287
0.3283 -3.0293 4.4202
-5.6037 -0.5467 3.3019
P Au Cu
4 2 2
Cartesian
-3.4429 -2.5969 0.1061
-1.7275 -2.5614 3.2635
-5.3780 -2.9358 3.4574
-6.9750 -6.0257 4.3599
0.0000 0.0000 0.0000
-5.3345 -3.6436 1.1595
-1.5790 -3.2566 1.1458
-3.4272 -3.4163 4.4339

# 17
CuPAu2 | the Alexandria database | PBE | optimized geometry; total energy = -3.787 eV/atom; space-group type = Cmmm, No. 65; ΔH_f (0 K) = 0.23 eV/atom
1.0
4.2200 0.3521 0.0000
-0.2213 4.2289 0.0000
0.0000 0.0000 3.5695
Au Cu P
2 1 1
Cartesian
0.0000 0.0000 0.0000
1.9993 2.2905 0.0000
2.1100 0.1761 1.7848
-0.1107 2.1144 1.7848

# 18
CuP2Au | the Alexandria database | PBE | optimized geometry; total energy = -4.030 eV/atom; space-group type = Fm-3m, No. 225; distance to the lowest polymorph of the same formula = 535 meV/atom; ΔH_f (0 K) = 0.52 eV/atom
1.0
2.2098 -2.9640 2.4774
-1.2014 -4.2847 -0.0574
2.6210 -3.0199 -1.9536
P Au Cu
2 1 1
Cartesian
0.9073 -2.5671 0.1166
2.7220 -7.7014 0.3498
1.8147 -5.1343 0.2332
0.0000 0.0000 0.0000

# 19
CuP2Au | the Alexandria database | PBE | optimized geometry; total energy = -4.418 eV/atom; space-group type = Cm, No. 8; distance to the lowest polymorph of the same formula = 147 meV/atom; ΔH_f (0 K) = 0.13 eV/atom
1.0
4.2820 0.1044 0.0780
3.3322 2.6914 0.0780
-0.1767 -0.0649 6.2424
Au Cu P
1 1 2
Cartesian
4.4052 1.6175 3.4954
1.1986 0.4401 1.1076
6.7026 2.4611 0.5556
6.4642 2.3735 4.5950

# 20
CuP2Au | the Alexandria database | PBE | optimized geometry; total energy = -4.426 eV/atom; space-group type = R3m, No. 160; distance to the lowest polymorph of the same formula = 139 meV/atom; ΔH_f (0 K) = 0.12 eV/atom
1.0
-5.5190 -4.1192 -1.0924
-4.2852 -3.6863 -4.0828
-3.0000 -5.9350 -2.0969
Au Cu P
1 1 2
Cartesian
-6.4438 -6.9150 -3.6597
-9.4670 -10.1592 -5.3767
-12.7430 -13.6749 -7.2373
-3.3566 -3.6020 -1.9064